Here is an optimized crystal structure of ErBiSb from Alexandria. Energies are from PBE.

Summary:
For the calculated total energy, the calculation gives -4.43 eV per atom. Its space-group type is P3m1 (156). Its uncorrected formation energy is -242 meV/atom.

Cell and atoms, written as CIF:
```
data_ErBiSb
_chemical_formula_sum 'Er1 Bi1 Sb1'
_cell_length_a 5.1030
_cell_length_b 5.1030
_cell_length_c 4.0930
_cell_angle_alpha 90.00
_cell_angle_beta 90.00
_cell_angle_gamma 120.00
_space_group_name_H-M_alt 'P 1'
_space_group_IT_number 1
_space_group_name_Hall 'P 1'
loop_
_atom_site_label
_atom_site_type_symbol
_atom_site_fract_x
_atom_site_fract_y
_atom_site_fract_z
Er1 Er 0.0000 0.0000 0.0000
Bi1 Bi 0.3333 0.6667 0.5010
Sb1 Sb 0.6667 0.3333 0.0020
```